{"formula": "Ac3Bi3O", "functional": "PBE", "state": "optimized geometry", "lattice": [[-3.682, 2.868, -0.789], [-7.521, -9.784, -0.471], [-2.589, 1.199, 16.433]], "species": ["Bi", "O", "Ac", "Bi", "Bi", "Bi", "Ac", "Bi", "O", "Ac", "Ac", "Ac", "Ac", "Bi", "O", "Ac", "Ac", "Bi", "O", "Ac", "Ac", "Bi", "Bi", "Bi", "Bi", "Ac", "Bi", "Ac"], "fractional_positions": [[0.750, 0.663, 0.457], [0.750, 0.402, 0.335], [0.750, 0.730, 0.081], [0.250, 0.337, 0.543], [0.750, 0.820, 0.730], [0.750, 0.320, 0.770], [0.750, 0.013, 0.873], [0.250, 0.680, 0.230], [0.250, 0.598, 0.665], [0.750, 0.513, 0.627], [0.250, 0.141, 0.693], [0.250, 0.270, 0.919], [0.250, 0.641, 0.807], [0.250, 0.180, 0.270], [0.250, 0.098, 0.835], [0.750, 0.230, 0.419], [0.750, 0.359, 0.193], [0.750, 0.485, 0.914], [0.750, 0.902, 0.165], [0.250, 0.487, 0.373], [0.250, 0.987, 0.127], [0.250, 0.015, 0.414], [0.750, 0.985, 0.586], [0.750, 0.163, 0.043], [0.250, 0.515, 0.086], [0.250, 0.770, 0.581], [0.250, 0.837, 0.957], [0.750, 0.859, 0.307]], "raw_formation_energy_ev_per_atom": -1.37, "energy_ev_per_fu": -38.493, "sg": "No. 62", "magnetic_moment_mub_per_fu": 0.0}



{"formula": "Tb6Pr3Tm2In", "functional": "PBE", "state": "optimized geometry", "lattice": [[-4.051, 4.671, -0.234], [-0.442, -4.684, -4.018], [-5.378, -5.598, 8.710]], "species": ["Tb", "Tb", "Tb", "Tb", "In", "Pr", "Tm", "Pr", "Tb", "Tm", "Tb", "Pr"], "fractional_positions": [[0.080, 0.407, 0.241], [0.593, 0.920, 0.759], [0.752, 0.752, 0.242], [0.920, 0.593, 0.759], [0.000, 0.000, 0.000], [0.833, 0.167, 0.500], [0.334, 0.666, 0.000], [0.167, 0.833, 0.500], [0.248, 0.248, 0.758], [0.666, 0.334, 0.000], [0.407, 0.080, 0.241], [0.500, 0.500, 0.500]], "delta_e_f_ev_per_fu": -0.4, "energy_ev_per_fu": -54.171, "sg": "No. 12", "magnetic_moment_mub_per_fu": 0.0}



{"formula": "NaGaCu3", "functional": "PBE", "state": "optimized geometry", "lattice": [[-2.841, 3.649, -0.520], [-2.334, -1.273, 3.819], [2.852, 2.593, 2.607]], "species": ["Cu", "Cu", "Ga", "Cu", "Na"], "fractional_positions": [[0.000, 0.500, 0.000], [0.500, 0.000, 0.000], [0.500, 0.500, 0.500], [0.000, 0.000, 0.500], [0.000, 0.000, 0.000]], "de_polymorph_mev_per_atom": 799, "delta_e_f_ev_per_fu": 5.7, "energy_ev_per_fu": -10.924, "sg": "No. 221", "magnetic_moment_mub_per_fu": 0.0}



{"formula": "Li3AlGa", "functional": "PBE", "state": "optimized geometry", "lattice": [[-3.636, -1.805, -1.698], [-1.640, -1.301, 4.894], [-4.287, 4.975, 3.891]], "species": ["Li", "Li", "Li", "Li", "Al", "Ga", "Li", "Li", "Ga", "Al"], "fractional_positions": [[0.250, 0.506, 0.252], [0.250, 0.289, 0.659], [0.750, 0.293, 0.149], [0.250, 0.707, 0.851], [0.750, 0.095, 0.554], [0.250, 0.103, 0.050], [0.750, 0.494, 0.748], [0.750, 0.711, 0.341], [0.750, 0.897, 0.950], [0.250, 0.905, 0.446]], "de_polymorph_mev_per_atom": 0, "delta_e_f_ev_per_fu": -1.3, "energy_ev_per_fu": -13.787, "sg": "No. 11", "magnetic_moment_mub_per_fu": 0.0}



{"formula": "CaRuCl6", "functional": "PBE", "state": "optimized geometry", "lattice": [[6.586, -0.106, -1.718], [-2.098, 6.244, -1.718], [0.086, 0.118, 6.691]], "species": ["Cl", "Cl", "Cl", "Cl", "Ca", "Ru", "Cl", "Cl"], "fractional_positions": [[0.750, 0.750, 0.082], [0.250, 0.250, 0.918], [0.030, 0.720, 0.734], [0.970, 0.280, 0.266], [0.000, 0.000, 0.500], [0.000, 0.000, 0.000], [0.720, 0.030, 0.734], [0.280, 0.970, 0.266]], "de_polymorph_mev_per_atom": 0, "raw_formation_energy_ev_per_atom": -1.16, "energy_ev_per_fu": -31.649, "sg": "No. 12", "magnetic_moment_mub_per_fu": 2.0}



{"formula": "Pm4DyZn", "functional": "PBE", "state": "optimized geometry", "lattice": [[5.219, 0.000, -0.001], [0.000, 5.221, -0.001], [0.004, 0.008, 7.574]], "species": ["Pm", "Zn", "Pm", "Dy", "Pm", "Pm"], "fractional_positions": [[0.501, 0.997, 0.268], [0.001, 0.997, 0.498], [0.001, 0.497, 0.728], [0.501, 0.498, 0.998], [0.501, 0.998, 0.728], [0.001, 0.497, 0.269]], "de_polymorph_mev_per_atom": 465, "delta_e_f_ev_per_fu": 2.2, "energy_ev_per_fu": -22.660, "sg": "No. 5", "magnetic_moment_mub_per_fu": 0.0}



{"formula": "AlSi3W2", "functional": "PBE", "state": "optimized geometry", "lattice": [[3.230, 0.000, 0.000], [0.000, 3.230, 0.000], [0.000, 0.000, 8.091]], "species": ["Al", "W", "Si", "Si", "Si", "W"], "fractional_positions": [[0.500, 0.500, 0.168], [0.000, 0.000, 0.988], [0.000, 0.000, 0.667], [0.000, 0.000, 0.336], [0.500, 0.500, 0.836], [0.500, 0.500, 0.505]], "raw_formation_energy_ev_per_atom": -0.30, "energy_ev_per_fu": -47.743, "sg": "No. 99", "magnetic_moment_mub_per_fu": 0.0}



{"formula": "MnHgCl", "functional": "PBE", "state": "optimized geometry", "lattice": [[-3.266, 1.712, -2.954], [-2.343, -2.921, -2.881], [-4.576, -0.900, 0.759]], "species": ["Hg", "Cl", "Mn"], "fractional_positions": [[0.500, 0.500, 0.500], [0.000, 0.000, 0.000], [0.750, 0.750, 0.750]], "de_polymorph_mev_per_atom": 367, "raw_formation_energy_ev_per_atom": 0.15, "energy_ev_per_fu": -10.856, "sg": "No. 216", "magnetic_moment_mub_per_fu": 4.7}